Entry 1:
Compound: Tb4PmPr7
Source: Alexandria via LeMat-Bulk
Functional: PBE
Structure: optimized geometry

Values from the calculation:
VASP energy	-56.5	eV/cell
E_form	0.19	eV per formula unit
symmetry	P-1, No. 2
crystal system	triclinic
relative energy among the computed polymorphs	0.0	kJ per mole of atoms
volume	34.631	Å³ per atom

abc: 7.3154 9.6813 9.6668
angles: 69.19 79.15 40.92
Element x y z (fractional)
Tb1 0.5012 0.6659 0.3343
Tb2 0.4988 0.3341 0.6657
Tb3 0.7498 0.8343 0.6651
Tb4 0.2502 0.1657 0.3349
Pm1 0.0000 0.0000 0.0000
Pr1 0.7498 0.5005 0.0012
Pr2 0.2502 0.4995 0.9988
Pr3 0.0008 0.3334 0.6646
Pr4 0.9992 0.6666 0.3354
Pr5 0.2497 0.8337 0.6646
Pr6 0.5000 0.0000 0.0000
Pr7 0.7503 0.1663 0.3354

=====

Entry 2:
Compound: Tb6Pm3Pr
Source: Alexandria via LeMat-Bulk
Functional: PBE
Structure: optimized geometry

Values from the calculation:
VASP energy	-90.7	eV/cell
E_form	1.48	eV per formula unit
symmetry	Cmc2_1, No. 36
crystal system	orthorhombic
relative energy among the computed polymorphs	0.0	kJ per mole of atoms
volume	33.506	Å³ per atom

abc: 6.3600 11.0189 11.0189
angles: 119.80 90.00 90.00
Element x y z (fractional)
Tb1 0.0455 0.7115 0.6220
Tb2 0.5455 0.6220 0.7115
Tb3 0.3729 0.5307 0.9497
Tb4 0.8729 0.9497 0.5307
Tb5 0.3745 0.9609 0.0391
Tb6 0.6474 0.2752 0.7248
Tb7 0.1474 0.7248 0.2752
Tb8 0.8745 0.0391 0.9609
Tb9 0.3729 0.0503 0.4693
Tb10 0.8729 0.4693 0.0503
Tb11 0.0455 0.3780 0.2885
Tb12 0.5455 0.2885 0.3780
Pm1 0.4630 0.9370 0.7103
Pm2 0.9630 0.7103 0.9370
Pm3 0.0733 0.3879 0.6121
Pm4 0.5733 0.6121 0.3879
Pm5 0.9630 0.0630 0.2897
Pm6 0.4630 0.2897 0.0630
Pr1 0.1276 0.1954 0.8046
Pr2 0.6276 0.8046 0.1954